This record from Alexandria describes LiCrPt2F after structural relaxation. The functional is PBE with a Hubbard U.

Calculated total energy (eV per cell): -20.09
Crystal system: tetragonal

extended XYZ file:
```
5
Lattice="4.6339 0.0000 0.0000 0.0000 4.6339 0.0000 0.0000 0.0000 5.8195" Properties=species:S:1:pos:R:3 pbc="T T T"
Li 0.0000 0.0000 0.0000
Cr 0.0000 0.0000 2.9097
Pt 0.0000 2.3170 2.9097
Pt 2.3170 0.0000 2.9097
F 2.3170 2.3170 0.0000
```